{
  "formula": "Cu2AgBr",
  "functional": "SCAN",
  "state": "single point on PBEsol structure",
  "cell": [[1.643, 0.949, 7.110], [-1.643, 0.949, 7.110], [0.000, -1.897, 7.110]],
  "species": ["Cu", "Cu", "Ag", "Br"],
  "frac_coords": [[0.250, 0.250, 0.250], [0.750, 0.750, 0.750], [0.000, 0.000, 0.000], [0.500, 0.500, 0.500]],
  "energy_ha_per_atom": -0.7354,
  "sg": "No. 166",
  "magnetic_moment_mub_per_fu": 0.0,
  "polymorph_energy_ev_per_fu": 0.316,
  "raw_formation_energy_ev_per_atom": 0.29
}

{
  "formula": "CuAg3Br",
  "functional": "SCAN",
  "state": "single point on PBEsol structure",
  "cell": [[4.765, 0.000, 0.000], [0.000, 4.765, 0.000], [0.000, 0.000, 4.765]],
  "species": ["Cu", "Ag", "Ag", "Ag", "Br"],
  "frac_coords": [[0.000, 0.000, 0.000], [0.000, 0.000, 0.500], [0.000, 0.500, 0.000], [0.500, 0.000, 0.000], [0.500, 0.500, 0.500]],
  "energy_ha_per_atom": -0.9279,
  "sg": "No. 221",
  "magnetic_moment_mub_per_fu": 0.0,
  "raw_formation_energy_ev_per_atom": 0.50
}

{
  "formula": "CuAgBr2",
  "functional": "SCAN",
  "state": "single point on PBEsol structure",
  "cell": [[-2.961, 2.961, 5.691], [2.961, -2.961, 5.691], [2.961, 2.961, -5.691]],
  "species": ["Cu", "Cu", "Ag", "Ag", "Br", "Br", "Br", "Br"],
  "frac_coords": [[0.000, 0.000, 0.000], [0.750, 0.250, 0.500], [0.250, 0.750, 0.500], [0.500, 0.500, 0.000], [0.090, 0.625, 0.965], [0.375, 0.340, 0.465], [0.660, 0.125, 0.035], [0.875, 0.910, 0.535]],
  "energy_ha_per_atom": -0.7967,
  "sg": "No. 122",
  "magnetic_moment_mub_per_fu": 0.0,
  "polymorph_energy_ev_per_fu": 0.000,
  "raw_formation_energy_ev_per_atom": -0.31
}

{
  "formula": "Cu2AgBr",
  "functional": "SCAN",
  "state": "single point on PBEsol structure",
  "cell": [[1.854, 1.071, 5.919], [-1.854, 1.071, 5.919], [0.000, -2.141, 5.919]],
  "species": ["Cu", "Cu", "Ag", "Br"],
  "frac_coords": [[0.000, 0.000, 0.000], [0.276, 0.276, 0.276], [0.738, 0.738, 0.738], [0.524, 0.524, 0.524]],
  "energy_ha_per_atom": -0.7383,
  "sg": "No. 160",
  "magnetic_moment_mub_per_fu": 0.0,
  "polymorph_energy_ev_per_fu": 0.000,
  "raw_formation_energy_ev_per_atom": 0.22
}

{
  "formula": "CuAgBr2",
  "functional": "SCAN",
  "state": "single point on PBEsol structure",
  "cell": [[4.165, 0.000, 0.000], [0.000, 3.907, 0.000], [-0.104, 0.000, 5.755]],
  "species": ["Cu", "Ag", "Br", "Br"],
  "frac_coords": [[0.000, 0.000, 0.000], [0.846, 0.500, 0.314], [0.362, 0.000, 0.317], [0.839, 0.500, 0.794]],
  "energy_ha_per_atom": -0.7967,
  "sg": "No. 6",
  "magnetic_moment_mub_per_fu": 0.0,
  "polymorph_energy_ev_per_fu": 0.003,
  "raw_formation_energy_ev_per_atom": -0.31
}

{
  "formula": "Cu2AgBr",
  "functional": "SCAN",
  "state": "single point on PBEsol structure",
  "cell": [[3.469, 0.000, 0.000], [0.000, 4.235, 0.000], [0.000, 0.000, 4.248]],
  "species": ["Cu", "Cu", "Ag", "Br"],
  "frac_coords": [[0.000, 0.000, 0.000], [0.000, 0.500, 0.500], [0.500, 0.000, 0.500], [0.500, 0.500, 0.000]],
  "energy_ha_per_atom": -0.7312,
  "sg": "No. 47",
  "magnetic_moment_mub_per_fu": 0.0,
  "polymorph_energy_ev_per_fu": 0.772,
  "raw_formation_energy_ev_per_atom": 0.41
}

> Number 3 is which compound?

CuAgBr2